1.
## SrGa2SnIr (PBE)

Data for crystalline SrGa2SnIr at its relaxed geometry.

Cell and atoms, written as POSCAR:
```
SrGa2SnIr
1.0
-0.431 3.366 3.467
-4.620 -2.255 1.614
2.459 -2.844 3.066
Ga Ir Sn Sr
2 1 1 1
direct
0.500 0.000 0.000
0.000 0.000 0.500
0.000 0.000 0.000
0.000 0.500 0.000
0.500 0.500 0.500
```

**Calculated formation energy**: -0.274 eV/atom
**Electronic total energy**: -4.394 eV per atom

=====

2.
## SrGaSnIr (PBE)

Data for crystalline SrGaSnIr at its relaxed geometry.

Cell and atoms, written as POSCAR:
```
SrGaSnIr
1.0
4.382 0.000 0.000
2.191 3.795 0.000
2.191 1.265 5.925
Sr Sn Ir Ga
1 1 1 1
direct
0.819 0.819 0.544
0.021 0.021 0.937
0.622 0.622 0.133
0.264 0.264 0.208
```

**Calculated formation energy**: -0.505 eV/atom
**Electronic total energy**: -4.898 eV per atom

=====

3.
## Sr2GaSn3Ir4 (PBE)

Data for crystalline Sr2GaSn3Ir4 at its relaxed geometry.

Cell and atoms, written as POSCAR:
```
Sr2GaSn3Ir4
1.0
4.485 0.000 0.000
0.000 4.485 0.000
0.000 0.000 10.954
Ir Sn Ga Sr
4 3 1 2
direct
0.000 0.500 0.374
0.500 0.000 0.626
0.000 0.000 0.000
0.500 0.500 0.000
0.000 0.500 0.131
0.500 0.000 0.869
0.000 0.000 0.500
0.500 0.500 0.500
0.500 0.000 0.249
0.000 0.500 0.751
```

**Calculated formation energy**: -0.475 eV/atom
**Electronic total energy**: -5.859 eV per atom

=====

4.
## Sr2GaIr (PBE)

Data for crystalline Sr2GaIr at its relaxed geometry.

Cell and atoms, written as POSCAR:
```
Sr2GaIr
1.0
4.357 0.011 0.042
2.178 3.773 0.042
2.076 1.202 8.098
Sr Ga Ir
2 1 1
direct
0.209 0.209 0.369
0.041 0.041 0.881
0.792 0.792 0.625
0.459 0.459 0.626
```

**Calculated formation energy**: -0.454 eV/atom
**Electronic total energy**: -4.267 eV per atom

=====

5.
## Sr4Ga3Ir2 (PBE)

Data for crystalline Sr4Ga3Ir2 at its relaxed geometry.

Cell and atoms, written as POSCAR:
```
Sr4Ga3Ir2
1.0
3.902 0.000 -1.076
-0.651 7.161 -2.360
0.294 -0.053 8.681
Ir Sr Ga
2 4 3
direct
0.586 0.447 0.171
0.414 0.553 0.829
0.227 0.688 0.455
0.424 0.116 0.848
0.773 0.312 0.545
0.576 0.884 0.152
0.101 0.252 0.201
0.000 0.500 0.000
0.899 0.748 0.799
```

**Calculated formation energy**: -0.428 eV/atom
**Electronic total energy**: -4.154 eV per atom

=====

6.
## Sr4Ga5Ir3 (PBE)

Data for crystalline Sr4Ga5Ir3 at its relaxed geometry.

Cell and atoms, written as POSCAR:
```
Sr4Ga5Ir3
1.0
4.387 0.000 -1.311
-0.592 7.170 -1.980
0.371 0.937 9.240
Sr Ir Ga
4 3 5
direct
0.096 0.903 0.191
0.904 0.097 0.809
0.168 0.470 0.337
0.832 0.530 0.663
0.302 0.827 0.604
0.698 0.173 0.396
0.500 0.500 0.000
0.262 0.141 0.525
0.738 0.859 0.475
0.436 0.772 0.872
0.564 0.228 0.128
0.000 0.500 0.000
```

**Calculated formation energy**: -0.410 eV/atom
**Electronic total energy**: -4.447 eV per atom

=====

7.
## SrGa6Ir2 (PBE)

Data for crystalline SrGa6Ir2 at its relaxed geometry.

Cell and atoms, written as POSCAR:
```
SrGa6Ir2
1.0
8.683 0.000 0.000
4.342 7.520 0.000
4.342 2.507 7.090
Ga Sr Ir
12 2 4
direct
0.470 0.470 0.030
0.220 0.780 0.780
0.780 0.220 0.780
0.030 0.470 0.470
0.470 0.030 0.470
0.220 0.780 0.220
0.470 0.030 0.030
0.030 0.030 0.470
0.780 0.220 0.220
0.780 0.780 0.220
0.030 0.470 0.030
0.220 0.220 0.780
0.750 0.750 0.750
0.500 0.500 0.500
0.125 0.125 0.625
0.125 0.125 0.125
0.125 0.625 0.125
0.625 0.125 0.125
```

**Calculated formation energy**: -0.030 eV/atom
**Electronic total energy**: -4.204 eV per atom

=====

8.
## SrGaIr (PBE)

Data for crystalline SrGaIr at its relaxed geometry.

Cell and atoms, written as POSCAR:
```
SrGaIr
1.0
6.347 0.000 -0.042
0.000 4.143 0.000
-4.024 0.000 10.870
Sr Ga Ir
4 4 4
direct
0.106 0.000 0.127
0.503 0.000 0.909
0.503 0.500 0.409
0.106 0.500 0.627
0.937 0.000 0.819
0.490 0.500 0.115
0.937 0.500 0.319
0.490 0.000 0.615
0.693 0.000 0.227
0.693 0.500 0.727
0.133 0.500 0.923
0.133 0.000 0.423
```

**Calculated formation energy**: -0.461 eV/atom
**Electronic total energy**: -4.984 eV per atom

=====

9.
## SrGa2Ir (PBE)

Data for crystalline SrGa2Ir at its relaxed geometry.

Cell and atoms, written as POSCAR:
```
SrGa2Ir
1.0
-0.618 0.590 4.214
-3.584 -1.461 1.872
1.119 -5.130 3.076
Ir Ga Sr
1 2 1
direct
0.000 0.000 0.000
0.705 0.705 0.886
0.295 0.295 0.114
0.500 0.500 0.500
```

**Calculated formation energy**: -0.541 eV/atom
**Electronic total energy**: -4.690 eV per atom

=====

10.
## SrGa12Ir4 (PBE)

Data for crystalline SrGa12Ir4 at its relaxed geometry.

Cell and atoms, written as POSCAR:
```
SrGa12Ir4
1.0
-7.016 -4.272 -1.493
1.065 0.809 8.241
-0.551 7.564 -3.490
Ga Ir Sr
12 4 1
direct
0.741 0.481 0.741
0.259 0.000 0.741
0.741 0.000 0.259
0.519 0.259 0.259
0.259 0.741 0.000
0.741 0.741 0.481
0.259 0.519 0.259
0.259 0.259 0.519
0.741 0.259 0.000
0.481 0.741 0.741
0.000 0.259 0.741
0.000 0.741 0.259
0.000 0.000 0.500
0.500 0.000 0.000
0.500 0.500 0.500
0.000 0.500 0.000
0.000 0.000 0.000
```

**Calculated formation energy**: -0.289 eV/atom
**Electronic total energy**: -4.609 eV per atom

=====

11.
## SrGa2Ir (PBE)

Data for crystalline SrGa2Ir at its relaxed geometry.

Cell and atoms, written as POSCAR:
```
SrGa2Ir
1.0
5.221 0.000 0.000
0.000 5.221 0.000
2.610 2.610 8.015
Ga Ir Sr
4 2 2
direct
0.875 0.125 0.750
0.875 0.125 0.250
0.875 0.625 0.250
0.375 0.125 0.750
0.750 0.250 0.500
0.000 0.000 0.000
0.250 0.750 0.500
0.500 0.500 0.000
```

**Calculated formation energy**: -0.336 eV/atom
**Electronic total energy**: -4.485 eV per atom

=====

12.
## Sr2Ga2Ir (PBE)

Data for crystalline Sr2Ga2Ir at its relaxed geometry.

Cell and atoms, written as POSCAR:
```
Sr2Ga2Ir
1.0
-3.981 1.258 1.417
-1.046 -2.121 5.803
1.910 9.415 3.865
Sr Ga Ir
4 4 2
direct
0.077 0.728 0.118
0.342 0.653 0.663
0.658 0.347 0.337
0.923 0.272 0.882
0.870 0.819 0.442
0.130 0.181 0.558
0.623 0.876 0.879
0.377 0.124 0.121
0.630 0.077 0.663
0.370 0.923 0.337
```

**Calculated formation energy**: -0.485 eV/atom
**Electronic total energy**: -4.141 eV per atom
**Distance to the lowest polymorph of the same formula**: 0.0000 eV per atom